SCAN SbMo, PBEsol geometry; D(E_F) = 1.0 states/eV/f.u.; ρ = 8.4 g/cm³; magnetic moment = 0.000 μB per cell; VASP energy = -35.792 eV per atom
1.0
-0.838 -1.781 -2.398
0.819 -2.991 -0.072
-8.763 -4.106 4.107
Mo Sb
2 2
direct
0.136 0.136 0.593 Mo
0.864 0.864 0.407 Mo
0.397 0.397 0.808 Sb
0.603 0.603 0.192 Sb


SCAN ZrSiRu, PBEsol geometry; D(E_F) = 1.4 states/eV/f.u.; ρ = 7.8 g/cm³; magnetic moment = 0.000 μB per cell; VASP energy = -26.200 eV per atom
1.0
3.666 0.000 0.000
0.000 6.638 0.000
0.000 -3.319 5.749
Si Ru Zr
3 3 3
direct
0.000 0.667 0.333 Si
0.000 0.333 0.667 Si
0.500 0.000 0.000 Si
0.000 0.000 0.244 Ru
0.000 0.756 0.756 Ru
0.000 0.244 0.000 Ru
0.500 0.000 0.585 Zr
0.500 0.415 0.415 Zr
0.500 0.585 0.000 Zr


SCAN TaNb3Ga, PBEsol geometry; D(E_F) = 4.7 states/eV/f.u.; ρ = 8.6 g/cm³; ΔH_f (0 K) = 1091 meV/atom; magnetic moment = 0.000 μB per cell; VASP energy = -35.373 eV per atom
1.0
4.667 0.000 0.000
0.000 4.667 0.000
0.000 0.000 4.667
Ta Nb Ga
1 3 1
direct
0.500 0.500 0.500 Ta
0.500 0.000 0.000 Nb
0.000 0.500 0.000 Nb
0.000 0.000 0.500 Nb
0.000 0.000 0.000 Ga


SCAN K2TaSi, PBEsol geometry; D(E_F) = 2.1 states/eV/f.u.; ρ = 5.3 g/cm³; magnetic moment = 0.000 μB per cell; VASP energy = -22.369 eV per atom
1.0
-1.616 0.708 -3.461
-3.069 -2.167 0.989
-2.670 4.799 2.229
K Si Ta
2 1 1
direct
0.000 0.500 0.000 K
0.500 0.000 0.000 K
0.500 0.500 0.500 Si
0.000 0.000 0.500 Ta


SCAN SiRh2W, PBEsol geometry; D(E_F) = 1.8 states/eV/f.u.; ρ = 12.6 g/cm³; magnetic moment = 0.000 μB per cell; VASP energy = -37.217 eV per atom
1.0
2.828 0.000 0.000
0.000 4.376 -0.009
-1.414 -2.177 4.442
W Rh Si
1 2 1
direct
0.226 0.727 0.453 W
0.996 0.996 0.992 Rh
0.785 0.285 0.569 Rh
0.493 0.493 0.987 Si


SCAN HfBe3Ni, PBEsol geometry; E above lowest polymorph = 11.088 eV/f.u.; D(E_F) = 3.4 states/eV/f.u.; ρ = 4.8 g/cm³; ΔH_f (0 K) = 2157 meV/atom; magnetic moment = 0.357 μB per cell; VASP energy = -16.225 eV per atom
1.0
4.493 0.000 0.000
0.000 4.493 0.000
0.000 0.000 4.493
Be Hf Ni
3 1 1
direct
0.500 0.000 0.000 Be
0.000 0.000 0.500 Be
0.000 0.500 0.000 Be
0.000 0.000 0.000 Hf
0.500 0.500 0.500 Ni


SCAN LiW2Se, PBEsol geometry; D(E_F) = 2.5 states/eV/f.u.; ρ = 12.4 g/cm³; magnetic moment = 0.000 μB per cell; VASP energy = -40.259 eV per atom
1.0
-0.567 -2.542 1.966
2.430 0.967 1.952
-3.675 3.150 3.014
Li W Se
1 2 1
direct
0.000 0.000 0.519 Li
0.000 0.000 0.026 W
0.500 0.500 0.247 W
0.500 0.500 0.708 Se


SCAN LaTcOs2, PBEsol geometry; E above lowest polymorph = 1.317 eV/f.u.; D(E_F) = 4.5 states/eV/f.u.; ρ = 15.0 g/cm³; ΔH_f (0 K) = 585 meV/atom; magnetic moment = 0.000 μB per cell; VASP energy = -54.896 eV per atom
1.0
2.879 0.000 0.000
0.000 4.772 0.000
-1.439 -2.386 4.987
Os Tc La
2 1 1
direct
0.778 0.778 0.557 Os
0.222 0.222 0.443 Os
0.500 0.000 0.000 Tc
0.000 0.500 0.000 La


SCAN Cd2P3Br, PBEsol geometry; D(E_F) = 0.0 states/eV/f.u.; ρ = 4.9 g/cm³; magnetic moment = 0.000 μB per cell; VASP energy = -18.966 eV per atom
1.0
-2.938 4.713 2.412
-1.701 -4.080 4.138
6.714 1.520 2.932
Br Cd P
2 4 6
direct
0.625 0.375 0.750 Br
0.375 0.625 0.250 Br
0.396 0.098 0.290 Cd
0.098 0.396 0.790 Cd
0.604 0.902 0.710 Cd
0.902 0.604 0.210 Cd
0.930 0.838 0.533 P
0.197 0.803 0.750 P
0.838 0.930 0.033 P
0.162 0.070 0.967 P
0.803 0.197 0.250 P
0.070 0.162 0.467 P


SCAN CuRhBr, PBEsol geometry; E above lowest polymorph = 0.078 eV/f.u.; D(E_F) = 4.5 states/eV/f.u.; ρ = 7.9 g/cm³; magnetic moment = 0.002 μB per cell; VASP energy = -22.219 eV per atom
1.0
-3.077 -1.400 -2.458
0.597 -3.392 -2.368
-1.959 -3.572 0.934
Cu Rh Br
1 1 1
direct
0.500 0.500 0.500 Cu
0.750 0.750 0.750 Rh
0.000 0.000 0.000 Br


SCAN BeS, PBEsol geometry; D(E_F) = 0.0 states/eV/f.u.; ρ = 2.4 g/cm³; magnetic moment = 0.000 μB per cell; VASP energy = -8.237 eV per atom
1.0
-2.719 -1.216 1.686
0.377 -2.572 2.227
-0.332 0.580 3.357
S Be
1 1
direct
0.750 0.750 0.750 S
0.000 0.000 0.000 Be


SCAN CaIr2, PBEsol geometry; D(E_F) = 3.1 states/eV/f.u.; ρ = 13.5 g/cm³; ΔH_f (0 K) = 4 meV/atom; magnetic moment = 0.000 μB per cell; VASP energy = -50.616 eV per atom
1.0
-1.172 2.279 -1.092
-3.767 -3.675 -0.075
-0.003 3.373 7.045
Ir Ca
4 2
direct
0.446 0.892 0.257 Ir
0.140 0.281 0.507 Ir
0.554 0.108 0.743 Ir
0.860 0.719 0.493 Ir
0.154 0.309 0.125 Ca
0.846 0.691 0.875 Ca


SCAN CdW2, PBEsol geometry; D(E_F) = 2.9 states/eV/f.u.; ρ = 13.4 g/cm³; ΔH_f (0 K) = 2228 meV/atom; magnetic moment = 0.000 μB per cell; VASP energy = -54.369 eV per atom
1.0
-1.892 0.046 -1.947
3.226 -1.198 -3.163
-0.912 -4.517 0.781
Cd W
1 2
direct
0.000 0.000 0.000 Cd
0.500 0.000 0.500 W
0.500 0.500 0.000 W


SCAN LaAlPt2, PBEsol geometry; D(E_F) = 2.1 states/eV/f.u.; ρ = 9.7 g/cm³; ΔH_f (0 K) = -931 meV/atom; magnetic moment = 0.000 μB per cell; VASP energy = -48.742 eV per atom
1.0
-1.682 -2.227 -4.033
4.561 -0.199 -1.792
-0.386 -5.851 6.375
Pt Al La
4 2 2
direct
0.518 0.875 0.250 Pt
0.125 0.268 0.750 Pt
0.625 0.482 0.750 Pt
0.732 0.375 0.250 Pt
0.750 0.250 0.500 Al
0.500 0.500 0.000 Al
0.000 0.000 0.000 La
0.250 0.750 0.500 La